# TePb2WS (PBE, optimized geometry)
data_TePb2WS
_chemical_formula_sum 'Te1 Pb2 W1 S1'
_space_group_name_H-M_alt 'P 4/m m m'
_space_group_IT_number 123
_space_group_name_Hall '-P 4 2'
_cell_length_a 6.044
_cell_length_b 6.044
_cell_length_c 5.041
_cell_angle_alpha 90.00
_cell_angle_beta 90.00
_cell_angle_gamma 90.00
loop_
_atom_site_label
_atom_site_fract_x
_atom_site_fract_y
_atom_site_fract_z
Te1 0.000 0.000 0.000
Pb1 0.000 0.500 0.000
W1 0.000 0.000 0.500
S1 0.500 0.500 0.500
# - Crystal system: tetragonal

---

# GaBiPdRh2 (PBE, optimized geometry)
data_GaBiPdRh2
_chemical_formula_sum 'Ga1 Bi1 Pd1 Rh2'
_space_group_name_H-M_alt 'P 4/m m m'
_space_group_IT_number 123
_space_group_name_Hall '-P 4 2'
_cell_length_a 4.623
_cell_length_b 4.623
_cell_length_c 4.648
_cell_angle_alpha 90.00
_cell_angle_beta 90.00
_cell_angle_gamma 90.00
loop_
_atom_site_label
_atom_site_fract_x
_atom_site_fract_y
_atom_site_fract_z
Ga1 0.000 0.000 0.000
Bi1 0.500 0.500 0.500
Pd1 0.000 0.000 0.500
Rh1 0.000 0.500 0.000
# - Crystal system: tetragonal
# - Excess energy over the best structure of this formula in the dataset: 0 meV per atom
# - Calculated formation energy: 253 meV/atom

---

Number 1: E_tot -20.5 eV/cell. Number 2: E_tot -25.5 eV/cell.